[1]
## Gd2MgNi (PBE-GGA)

Data for crystalline Gd2MgNi at its relaxed geometry.

Cell: 5.102 5.102 5.102 Å, 60.00 60.00 60.00°
Site moments in Bohr magnetons follow the coordinates.
Sites, in units of the cell vectors:
Gd 0.250 0.250 0.250  7.04
Gd 0.750 0.750 0.750  7.04
Mg 0.000 0.000 0.000  -0.01
Ni 0.500 0.500 0.500  -0.08

Results
DOS(E_F): 0.900 states/eV per atom
V: 23.481 Å³/atom
crystal system: cubic
total energy: -8.978 eV per atom
calculated density: 7.0 g/cm3


[2]
## Hg12Sb5Se3 (PBE-GGA)

Data for crystalline Hg12Sb5Se3 at its relaxed geometry.

Cell: 14.801 14.801 14.801 Å, 109.47 109.47 109.47°
Sites, in units of the cell vectors:
Sb 0.875 0.625 0.750
Sb 0.500 0.500 0.500
Sb 0.875 0.250 0.625
Sb 0.500 0.000 0.500
Sb 0.000 0.500 0.000
Sb 0.625 0.875 0.250
Sb 0.125 0.750 0.375
Sb 0.250 0.375 0.625
Sb 0.500 0.500 0.000
Sb 0.250 0.875 0.125
Sb 0.625 0.750 0.875
Sb 0.375 0.250 0.125
Sb 0.000 0.000 0.500
Sb 0.500 0.000 0.000
Sb 0.000 0.500 0.500
Sb 0.000 0.000 0.000
Sb 0.125 0.375 0.250
Sb 0.750 0.625 0.375
Sb 0.375 0.125 0.750
Sb 0.750 0.125 0.875
Hg 0.732 0.619 0.179
Hg 0.119 0.179 0.232
Hg 0.381 0.268 0.321
Hg 0.553 0.232 0.113
Hg 0.060 0.179 0.447
Hg 0.613 0.053 0.232
Hg 0.268 0.887 0.947
Hg 0.179 0.060 0.947
Hg 0.553 0.321 0.940
Hg 0.821 0.940 0.053
Hg 0.447 0.768 0.887
Hg 0.768 0.321 0.881
Hg 0.440 0.387 0.619
Hg 0.560 0.947 0.679
Hg 0.179 0.119 0.732
Hg 0.940 0.119 0.887
Hg 0.113 0.381 0.060
Hg 0.053 0.613 0.732
Hg 0.821 0.881 0.268
Hg 0.321 0.768 0.381
Hg 0.881 0.060 0.613
Hg 0.768 0.447 0.387
Hg 0.887 0.268 0.447
Hg 0.732 0.113 0.053
Hg 0.381 0.113 0.560
Hg 0.560 0.613 0.381
Hg 0.887 0.619 0.940
Hg 0.947 0.560 0.179
Hg 0.613 0.560 0.881
Hg 0.113 0.732 0.553
Hg 0.060 0.881 0.113
Hg 0.619 0.732 0.679
Hg 0.387 0.947 0.768
Hg 0.387 0.440 0.119
Hg 0.940 0.821 0.553
Hg 0.440 0.053 0.321
Hg 0.119 0.940 0.387
Hg 0.268 0.381 0.821
Hg 0.679 0.447 0.560
Hg 0.232 0.679 0.119
Hg 0.619 0.887 0.440
Hg 0.447 0.679 0.060
Hg 0.947 0.387 0.268
Hg 0.679 0.232 0.619
Hg 0.053 0.440 0.821
Hg 0.881 0.821 0.768
Hg 0.232 0.553 0.613
Hg 0.321 0.553 0.440
Se 0.250 0.625 0.875
Se 0.750 0.875 0.625
Se 0.625 0.250 0.375
Se 0.875 0.750 0.125
Se 0.375 0.625 0.250
Se 0.625 0.375 0.750
Se 0.750 0.375 0.125
Se 0.875 0.125 0.250
Se 0.375 0.750 0.625
Se 0.250 0.125 0.375
Se 0.125 0.875 0.750
Se 0.125 0.250 0.875

Results
DOS(E_F): 0.517 states/eV per atom
E_form (uncorrected): 0.110 eV per atom
V: 31.204 Å³/atom
crystal system: cubic
calculated density: 8.7 g/cm3


[3]
## V4Ru2Rh (PBE-GGA)

Data for crystalline V4Ru2Rh at its relaxed geometry.

Cell: 4.484 4.484 6.899 Å, 71.04 71.04 90.00°
Site moments in Bohr magnetons follow the coordinates.
Sites, in units of the cell vectors:
V 0.799 0.799 0.401  1.27
V 0.201 0.201 0.599  1.27
V 0.500 0.000 0.000  0.48
V 0.000 0.500 0.000  0.48
Ru 0.384 0.384 0.231  -0.23
Ru 0.616 0.616 0.769  -0.23
Rh 0.000 0.000 0.000  -0.02

Results
DOS(E_F): 1.624 states/eV per atom
V: 17.599 Å³/atom
crystal system: tetragonal
total energy: -8.045 eV per atom
calculated density: 6.9 g/cm3


[4]
## LuHgBiPb (PBE-GGA)

Data for crystalline LuHgBiPb at its relaxed geometry.

Cell: 5.445 5.445 5.445 Å, 60.00 60.00 60.00°
Sites, in units of the cell vectors:
Hg 0.000 0.000 0.000
Lu 0.750 0.750 0.750
Bi 0.500 0.500 0.500
Pb 0.250 0.250 0.250

Results
DOS(E_F): 0.709 states/eV per atom
V: 28.536 Å³/atom
crystal system: cubic
total energy: -3.268 eV per atom
calculated density: 11.5 g/cm3


[5]
## Li2YAs2 (PBE-GGA)

Data for crystalline Li2YAs2 at its relaxed geometry.

Cell: 7.677 7.677 3.053 Å, 90.00 90.00 90.00°
Sites, in units of the cell vectors:
Li 0.889 0.611 0.000
Li 0.611 0.111 0.000
Li 0.111 0.389 0.000
Li 0.389 0.889 0.000
As 0.815 0.315 0.500
As 0.185 0.685 0.500
As 0.315 0.185 0.500
As 0.685 0.815 0.500
Y 0.000 0.000 0.000
Y 0.500 0.500 0.000

Results
DOS(E_F): 0.416 states/eV per atom
V: 17.994 Å³/atom
crystal system: tetragonal
total energy: -4.628 eV per atom
calculated density: 4.7 g/cm3


[6]
## Tl8Te2S (PBE-GGA)

Data for crystalline Tl8Te2S at its relaxed geometry.

Cell: 4.426 8.258 10.459 Å, 97.50 102.22 90.00°
Sites, in units of the cell vectors:
Tl 0.602 0.501 0.203
Tl 0.997 0.240 0.994
Tl 0.647 0.049 0.293
Tl 0.782 0.645 0.564
Tl 0.398 0.499 0.797
Tl 0.218 0.355 0.436
Tl 0.353 0.951 0.707
Tl 0.003 0.760 0.006
Te 0.833 0.239 0.665
Te 0.167 0.761 0.335
S 0.500 0.000 0.000

Results
DOS(E_F): 0.248 states/eV per atom
E_form (uncorrected): -0.209 eV per atom
V: 33.660 Å³/atom
crystal system: monoclinic
calculated density: 8.6 g/cm3


What did the second record say?
## Hg12Sb5Se3 (PBE-GGA)

Data for crystalline Hg12Sb5Se3 at its relaxed geometry.

Cell: 14.801 14.801 14.801 Å, 109.47 109.47 109.47°
Sites, in units of the cell vectors:
Sb 0.875 0.625 0.750
Sb 0.500 0.500 0.500
Sb 0.875 0.250 0.625
Sb 0.500 0.000 0.500
Sb 0.000 0.500 0.000
Sb 0.625 0.875 0.250
Sb 0.125 0.750 0.375
Sb 0.250 0.375 0.625
Sb 0.500 0.500 0.000
Sb 0.250 0.875 0.125
Sb 0.625 0.750 0.875
Sb 0.375 0.250 0.125
Sb 0.000 0.000 0.500
Sb 0.500 0.000 0.000
Sb 0.000 0.500 0.500
Sb 0.000 0.000 0.000
Sb 0.125 0.375 0.250
Sb 0.750 0.625 0.375
Sb 0.375 0.125 0.750
Sb 0.750 0.125 0.875
Hg 0.732 0.619 0.179
Hg 0.119 0.179 0.232
Hg 0.381 0.268 0.321
Hg 0.553 0.232 0.113
Hg 0.060 0.179 0.447
Hg 0.613 0.053 0.232
Hg 0.268 0.887 0.947
Hg 0.179 0.060 0.947
Hg 0.553 0.321 0.940
Hg 0.821 0.940 0.053
Hg 0.447 0.768 0.887
Hg 0.768 0.321 0.881
Hg 0.440 0.387 0.619
Hg 0.560 0.947 0.679
Hg 0.179 0.119 0.732
Hg 0.940 0.119 0.887
Hg 0.113 0.381 0.060
Hg 0.053 0.613 0.732
Hg 0.821 0.881 0.268
Hg 0.321 0.768 0.381
Hg 0.881 0.060 0.613
Hg 0.768 0.447 0.387
Hg 0.887 0.268 0.447
Hg 0.732 0.113 0.053
Hg 0.381 0.113 0.560
Hg 0.560 0.613 0.381
Hg 0.887 0.619 0.940
Hg 0.947 0.560 0.179
Hg 0.613 0.560 0.881
Hg 0.113 0.732 0.553
Hg 0.060 0.881 0.113
Hg 0.619 0.732 0.679
Hg 0.387 0.947 0.768
Hg 0.387 0.440 0.119
Hg 0.940 0.821 0.553
Hg 0.440 0.053 0.321
Hg 0.119 0.940 0.387
Hg 0.268 0.381 0.821
Hg 0.679 0.447 0.560
Hg 0.232 0.679 0.119
Hg 0.619 0.887 0.440
Hg 0.447 0.679 0.060
Hg 0.947 0.387 0.268
Hg 0.679 0.232 0.619
Hg 0.053 0.440 0.821
Hg 0.881 0.821 0.768
Hg 0.232 0.553 0.613
Hg 0.321 0.553 0.440
Se 0.250 0.625 0.875
Se 0.750 0.875 0.625
Se 0.625 0.250 0.375
Se 0.875 0.750 0.125
Se 0.375 0.625 0.250
Se 0.625 0.375 0.750
Se 0.750 0.375 0.125
Se 0.875 0.125 0.250
Se 0.375 0.750 0.625
Se 0.250 0.125 0.375
Se 0.125 0.875 0.750
Se 0.125 0.250 0.875

Results
DOS(E_F): 0.517 states/eV per atom
E_form (uncorrected): 0.110 eV per atom
V: 31.204 Å³/atom
crystal system: cubic
calculated density: 8.7 g/cm3